1.
Here is Ca3La12Pb5 after structural relaxation from the Alexandria database. Energies are from GGA-PBE. Values from VASP.

Geometry as Quantum ESPRESSO input:
```
&SYSTEM
  ibrav = 0, nat = 80, ntyp = 3
/
ATOMIC_SPECIES
Ca 40.08 Ca.upf
La 138.91 La.upf
Pb 207.20 Pb.upf
ATOMIC_POSITIONS crystal
Ca 0.1250 0.2500 0.3750
Ca 0.1250 0.3750 0.7500
Ca 0.2500 0.3750 0.1250
Ca 0.2500 0.8750 0.6250
Ca 0.3750 0.1250 0.2500
Ca 0.3750 0.7500 0.1250
Ca 0.6250 0.2500 0.8750
Ca 0.6250 0.8750 0.7500
Ca 0.7500 0.1250 0.3750
Ca 0.7500 0.6250 0.8750
Ca 0.8750 0.6250 0.2500
Ca 0.8750 0.7500 0.6250
La 0.0420 0.2146 0.1154
La 0.0420 0.3274 0.9266
La 0.0734 0.6154 0.4008
La 0.0734 0.9580 0.6726
La 0.0992 0.7146 0.6726
La 0.0992 0.8846 0.4266
La 0.1154 0.0420 0.2146
La 0.1154 0.5734 0.9008
La 0.1726 0.2146 0.5992
La 0.1726 0.4580 0.5734
La 0.2146 0.1154 0.0420
La 0.2146 0.5992 0.1726
La 0.2854 0.3274 0.9008
La 0.2854 0.4580 0.3846
La 0.3274 0.9008 0.2854
La 0.3274 0.9266 0.0420
La 0.3846 0.2854 0.4580
La 0.3846 0.5992 0.9266
La 0.4008 0.0734 0.6154
La 0.4008 0.8274 0.7854
La 0.4266 0.0992 0.8846
La 0.4266 0.8274 0.5420
La 0.4580 0.3846 0.2854
La 0.4580 0.5734 0.1726
La 0.5420 0.4266 0.8274
La 0.5420 0.6154 0.7146
La 0.5734 0.1726 0.4580
La 0.5734 0.9008 0.1154
La 0.5992 0.1726 0.2146
La 0.5992 0.9266 0.3846
La 0.6154 0.4008 0.0734
La 0.6154 0.7146 0.5420
La 0.6726 0.0734 0.9580
La 0.6726 0.0992 0.7146
La 0.7146 0.5420 0.6154
La 0.7146 0.6726 0.0992
La 0.7854 0.4008 0.8274
La 0.7854 0.8846 0.9580
La 0.8274 0.5420 0.4266
La 0.8274 0.7854 0.4008
La 0.8846 0.4266 0.0992
La 0.8846 0.9580 0.7854
La 0.9008 0.1154 0.5734
La 0.9008 0.2854 0.3274
La 0.9266 0.0420 0.3274
La 0.9266 0.3846 0.5992
La 0.9580 0.6726 0.0734
La 0.9580 0.7854 0.8846
Pb 0.0000 0.0000 0.0000
Pb 0.0000 0.0000 0.5000
Pb 0.0000 0.5000 0.0000
Pb 0.0000 0.5000 0.5000
Pb 0.1250 0.7500 0.8750
Pb 0.1250 0.8750 0.2500
Pb 0.2500 0.1250 0.8750
Pb 0.2500 0.6250 0.3750
Pb 0.3750 0.2500 0.6250
Pb 0.3750 0.6250 0.7500
Pb 0.5000 0.0000 0.0000
Pb 0.5000 0.0000 0.5000
Pb 0.5000 0.5000 0.0000
Pb 0.5000 0.5000 0.5000
Pb 0.6250 0.3750 0.2500
Pb 0.6250 0.7500 0.3750
Pb 0.7500 0.3750 0.6250
Pb 0.7500 0.8750 0.1250
Pb 0.8750 0.1250 0.7500
Pb 0.8750 0.2500 0.1250
CELL_PARAMETERS angstrom
-9.7543 9.7543 9.7543
9.7543 -9.7543 9.7543
9.7543 9.7543 -9.7543
```

Calculated values
* energy of formation: 0.277 eV/atom
* space-group type: No. 230

2.
Here is BaCd7 after structural relaxation from the Alexandria database. Energies are from GGA-PBE. Values from VASP.

Geometry as Quantum ESPRESSO input:
```
&SYSTEM
  ibrav = 0, nat = 8, ntyp = 2
/
ATOMIC_SPECIES
Ba 137.33 Ba.upf
Cd 112.41 Cd.upf
ATOMIC_POSITIONS crystal
Ba 0.0000 0.0000 0.0000
Cd 0.0000 0.0000 0.5000
Cd 0.0000 0.5000 0.0000
Cd 0.0000 0.5000 0.5000
Cd 0.5000 0.0000 0.0000
Cd 0.5000 0.0000 0.5000
Cd 0.5000 0.5000 0.0000
Cd 0.5000 0.5000 0.5000
CELL_PARAMETERS angstrom
0.0000 4.8520 4.8520
4.8520 0.0000 4.8520
4.8520 4.8520 0.0000
```

Calculated values
* energy of formation: 0.024 eV/atom
* space-group type: No. 225

3.
Here is MgOs2 after structural relaxation from the Alexandria database. Energies are from GGA-PBE. Values from VASP.

Geometry as Quantum ESPRESSO input:
```
&SYSTEM
  ibrav = 0, nat = 6, ntyp = 2
/
ATOMIC_SPECIES
Mg 24.30 Mg.upf
Os 190.23 Os.upf
ATOMIC_POSITIONS crystal
Mg 0.2500 0.2500 0.0000
Mg 0.7500 0.7500 0.0000
Os 0.1399 0.6399 0.7798
Os 0.3601 0.1399 0.5000
Os 0.6399 0.8601 0.5000
Os 0.8601 0.3601 0.2202
CELL_PARAMETERS angstrom
-3.1004 3.1004 2.3385
3.1004 -3.1004 2.3385
3.1004 3.1004 -2.3385
```

Calculated values
* energy of formation: 0.766 eV/atom
* space-group type: No. 140

Number 1: electronic total energy -312.58 eV for the cell shown. Number 2: electronic total energy -8.13 eV for the cell shown. Number 3: electronic total energy -43.51 eV for the cell shown.